# Nd3YZn8 PBE optimized geometry
data_Nd3YZn8
_chemical_formula_sum 'Nd3 Y1 Zn8'
_cell_length_a 5.667
_cell_length_b 5.667
_cell_length_c 8.727
_cell_angle_alpha 90.00
_cell_angle_beta 90.00
_cell_angle_gamma 120.00
_symmetry_space_group_name_H-M 'P 1'
_symmetry_Int_Tables_number 1
loop_
_symmetry_equiv_pos_as_xyz
'x,y,z'
loop_
_atom_site_label
_atom_site_fract_x
_atom_site_fract_y
_atom_site_fract_z
Nd1 0.000 0.000 0.000
Nd2 0.000 0.000 0.395
Nd3 0.333 0.667 0.896
Y1 0.333 0.667 0.505
Zn1 0.339 0.169 0.697
Zn2 0.500 0.001 0.202
Zn3 0.500 0.500 0.202
Zn4 0.667 0.333 0.447
Zn5 0.667 0.333 0.951
Zn6 0.831 0.169 0.697
Zn7 0.831 0.661 0.697
Zn8 0.999 0.500 0.202
# **Final energy**: -34.64 eV/cell
# **Spin magnetization**: 0.0000 μB per atom
# **DFT formation energy**: -7.068 kcal/mol of atoms
# **Density of states at the Fermi level**: 7.2 states/eV/cell